1.
3
Lattice="-1.6892 1.6892 5.1858 1.6892 -1.6892 5.1858 1.6892 1.6892 -5.1858" Properties=species:S:1:pos:R:3 comment="InSi2, relaxed, DFT PBE-GGA" m_tot_mub_per_cell=0.0 e_above_lowest_polymorph_mev_per_atom=152.0 pbc="T T T"
In 0.0000 0.0000 0.0000
Si 0.0000 0.0000 2.9619
Si 0.0000 0.0000 7.4097

2.
10
Lattice="3.3341 0.0000 0.0000 0.0000 3.3341 0.0000 0.0000 0.0000 16.9314" Properties=species:S:1:pos:R:3 comment="Ho5Co4Cu, relaxed, DFT PBE-GGA" formation_enthalpy_0k_kj_per_mol_atoms=-18.77 m_tot_mub_per_cell=0.4 pbc="T T T"
Ho 0.0000 0.0000 0.0000
Ho 0.0000 0.0000 3.3108
Ho 0.0000 0.0000 6.6285
Ho 0.0000 0.0000 10.3029
Ho 0.0000 0.0000 13.6207
Co 1.6671 1.6671 1.6695
Co 1.6671 1.6671 5.0156
Co 1.6671 1.6671 11.9159
Co 1.6671 1.6671 15.2620
Cu 1.6671 1.6671 8.4657

3.
12
Lattice="3.9432 -6.8297 0.0000 3.9432 6.8297 0.0000 -2.6299 0.0000 8.2384" Properties=species:S:1:pos:R:3 comment="K3Pu2PaTe6, relaxed, DFT PBE-GGA" energy_ha_per_atom=-0.225 m_tot_mub_per_cell=12.0 pbc="T T T"
K 0.0000 0.0000 0.0000
K 3.9432 2.3060 0.0000
K 3.9432 -2.3060 0.0000
Pu 2.6283 4.5557 4.1192
Pu 2.6283 -4.5557 4.1192
Pa 2.6283 0.0000 4.1192
Te 1.3468 2.2207 2.3828
Te 0.0663 0.0000 5.8578
Te 1.3468 -2.2207 2.3828
Te 3.9098 2.2207 5.8556
Te 5.1903 0.0000 2.3806
Te 3.9098 -2.2207 5.8556

Number 1: DOS(E_F) 1.0 states/eV/cell. Number 2: DOS(E_F) 4.4 states/eV/cell. Number 3: DOS(E_F) 33.8 states/eV/cell.